(1)
BeH2Br: optimized geometry, GGA-PBEsol.

E_tot (eV/atom): -2.7812
SG: Fd-3m, No. 227

a = 4.9315 Å, b = 4.9315 Å, c = 4.9315 Å
α = 60.00°, β = 60.00°, γ = 60.00°
Atoms (fractional coordinates):
Be (0.1250, 0.1250, 0.1250)
Be (0.8750, 0.8750, 0.8750)
H (0.0000, 0.0000, 0.0000)
H (0.0000, 0.0000, 0.5000)
H (0.0000, 0.5000, 0.0000)
H (0.5000, 0.0000, 0.0000)
Br (0.3750, 0.3750, 0.3750)
Br (0.6250, 0.6250, 0.6250)

=====

(2)
BeH2Br: optimized geometry, GGA-PBEsol.

E_tot (eV/atom): -1.9998
SG: Fm-3m, No. 225

a = 5.3541 Å, b = 5.3541 Å, c = 5.3541 Å
α = 90.00°, β = 90.00°, γ = 90.00°
Atoms (fractional coordinates):
Be (0.0000, 0.0000, 0.0000)
Be (0.0000, 0.5000, 0.5000)
Be (0.5000, 0.0000, 0.5000)
Be (0.5000, 0.5000, 0.0000)
H (0.2500, 0.2500, 0.2500)
H (0.2500, 0.2500, 0.7500)
H (0.2500, 0.7500, 0.2500)
H (0.2500, 0.7500, 0.7500)
H (0.7500, 0.2500, 0.2500)
H (0.7500, 0.2500, 0.7500)
H (0.7500, 0.7500, 0.2500)
H (0.7500, 0.7500, 0.7500)
Br (0.0000, 0.0000, 0.5000)
Br (0.0000, 0.5000, 0.0000)
Br (0.5000, 0.0000, 0.0000)
Br (0.5000, 0.5000, 0.5000)

=====

(3)
BeH2IBr: optimized geometry, GGA-PBEsol.

E_tot (eV/atom): -2.2034
SG: P4/mmm, No. 123

a = 3.9751 Å, b = 3.9751 Å, c = 5.2841 Å
α = 90.00°, β = 90.00°, γ = 90.00°
Atoms (fractional coordinates):
Be (0.0000, 0.0000, 0.0000)
H (0.0000, 0.5000, 0.0000)
H (0.5000, 0.0000, 0.0000)
I (0.0000, 0.0000, 0.5000)
Br (0.5000, 0.5000, 0.5000)

=====

(4)
Be2SnHBr: optimized geometry, GGA-PBEsol.

E_tot (eV/atom): -2.9895
SG: P4/mmm, No. 123

a = 4.7546 Å, b = 4.7546 Å, c = 3.8890 Å
α = 90.00°, β = 90.00°, γ = 90.00°
Atoms (fractional coordinates):
Be (0.0000, 0.5000, 0.0000)
Be (0.5000, 0.0000, 0.0000)
Sn (0.0000, 0.0000, 0.0000)
H (0.0000, 0.0000, 0.5000)
Br (0.5000, 0.5000, 0.5000)

=====

(5)
Hf3BeBr: optimized geometry, GGA-PBEsol.

SG: Pm-3m, No. 221
Energy relative to the elements, uncorrected (meV per atom): 546

a = 4.6808 Å, b = 4.6808 Å, c = 4.6808 Å
α = 90.00°, β = 90.00°, γ = 90.00°
Atoms (fractional coordinates):
Hf (0.0000, 0.0000, 0.5000)
Hf (0.0000, 0.5000, 0.0000)
Hf (0.5000, 0.0000, 0.0000)
Be (0.0000, 0.0000, 0.0000)
Br (0.5000, 0.5000, 0.5000)

=====

(6)
HfBe2PbBr: optimized geometry, GGA-PBEsol.

SG: P4/mmm, No. 123
Energy relative to the elements, uncorrected (meV per atom): 980

a = 4.4070 Å, b = 4.4070 Å, c = 5.0365 Å
α = 90.00°, β = 90.00°, γ = 90.00°
Atoms (fractional coordinates):
Hf (0.0000, 0.0000, 0.0000)
Be (0.0000, 0.5000, 0.5000)
Be (0.5000, 0.0000, 0.5000)
Pb (0.5000, 0.5000, 0.0000)
Br (0.0000, 0.0000, 0.5000)

=====

(7)
HfBeTeBr2: optimized geometry, GGA-PBEsol.

SG: P4/mmm, No. 123
Energy relative to the elements, uncorrected (meV per atom): 82

a = 4.5485 Å, b = 4.5485 Å, c = 5.2616 Å
α = 90.00°, β = 90.00°, γ = 90.00°
Atoms (fractional coordinates):
Hf (0.0000, 0.0000, 0.0000)
Be (0.5000, 0.5000, 0.5000)
Te (0.5000, 0.5000, 0.0000)
Br (0.0000, 0.5000, 0.5000)
Br (0.5000, 0.0000, 0.5000)

=====

(8)
BeHgBr3: optimized geometry, GGA-PBEsol.

SG: Pm-3m, No. 221
Energy relative to the elements, uncorrected (meV per atom): -270

a = 4.8133 Å, b = 4.8133 Å, c = 4.8133 Å
α = 90.00°, β = 90.00°, γ = 90.00°
Atoms (fractional coordinates):
Be (0.0000, 0.0000, 0.0000)
Hg (0.5000, 0.5000, 0.5000)
Br (0.0000, 0.0000, 0.5000)
Br (0.0000, 0.5000, 0.0000)
Br (0.5000, 0.0000, 0.0000)